Li8Ca: single point on PBEsol structure, SCAN. Values from VASP.

Structure (Quantum ESPRESSO input):
```
&SYSTEM
  ibrav = 0, nat = 9, ntyp = 2
/
ATOMIC_SPECIES
Li 6.94 Li.upf
Ca 40.08 Ca.upf
CELL_PARAMETERS angstrom
-4.707 4.707 2.296
4.707 -4.707 2.296
4.707 4.707 -2.296
ATOMIC_POSITIONS angstrom
Li 3.253 0.000 0.000
Li 6.160 0.000 0.000
Li 3.011 3.011 0.000
Li 1.696 -1.696 2.296
Li 0.000 3.253 0.000
Li 0.000 6.160 0.000
Li -1.696 1.696 2.296
Li 1.696 1.696 2.296
Ca 0.000 0.000 0.000
```

Properties
calculated volume = 203.44 Å³/f.u.
formation enthalpy at 0 K = 0.017 eV per atom
magnetic moment = 0.5 μB/f.u.

Cd3Hg2: single point on PBEsol structure, SCAN. Values from VASP.

Structure (Quantum ESPRESSO input):
```
&SYSTEM
  ibrav = 0, nat = 5, ntyp = 2
/
ATOMIC_SPECIES
Cd 112.41 Cd.upf
Hg 200.59 Hg.upf
CELL_PARAMETERS angstrom
1.638 0.945 11.639
-1.638 0.945 11.639
0.000 -1.891 11.639
ATOMIC_POSITIONS angstrom
Cd 0.000 0.000 0.000
Cd 0.000 0.000 6.982
Cd 0.000 0.000 27.934
Hg 0.000 0.000 13.968
Hg 0.000 0.000 20.948
```

Properties
calculated volume = 108.13 Å³/f.u.
formation enthalpy at 0 K = 0.004 eV per atom
magnetic moment = 0.0 μB/f.u.

OsRu3: single point on PBEsol structure, SCAN. Values from VASP.

Structure (Quantum ESPRESSO input):
```
&SYSTEM
  ibrav = 0, nat = 24, ntyp = 2
/
ATOMIC_SPECIES
Os 190.23 Os.upf
Ru 101.07 Ru.upf
CELL_PARAMETERS angstrom
5.371 0.000 0.000
0.000 12.988 0.000
0.000 0.000 4.647
ATOMIC_POSITIONS angstrom
Os 1.343 1.126 0.790
Os 1.343 5.368 0.790
Os 1.343 9.741 2.313
Os 4.028 3.247 2.334
Os 4.028 7.620 3.857
Os 4.028 11.861 3.857
Ru 5.371 1.125 3.102
Ru 0.000 3.247 0.004
Ru 5.371 5.369 3.102
Ru 0.000 7.619 1.545
Ru 5.371 9.741 4.643
Ru 0.000 11.863 1.545
Ru 1.343 3.247 2.326
Ru 1.343 7.624 3.866
Ru 1.343 11.858 3.866
Ru 2.686 1.125 3.102
Ru 2.685 3.247 0.004
Ru 2.686 5.369 3.102
Ru 2.685 7.619 1.545
Ru 2.686 9.741 4.643
Ru 2.685 11.863 1.545
Ru 4.028 1.130 0.781
Ru 4.028 5.364 0.781
Ru 4.028 9.741 2.321
```

Properties
calculated volume = 54.02 Å³/f.u.
formation enthalpy at 0 K = 0.076 eV per atom
magnetic moment = 0.0 μB/f.u.

RbTcN2: single point on PBEsol structure, SCAN. Values from VASP.

Structure (Quantum ESPRESSO input):
```
&SYSTEM
  ibrav = 0, nat = 8, ntyp = 3
/
ATOMIC_SPECIES
Rb 85.47 Rb.upf
Tc 98.00 Tc.upf
N 14.01 N.upf
CELL_PARAMETERS angstrom
-2.944 2.944 4.247
2.944 -2.944 4.247
2.944 2.944 -4.247
ATOMIC_POSITIONS angstrom
Rb 0.000 0.000 0.000
Rb 0.000 2.944 2.124
Tc 2.944 0.000 2.124
Tc 0.000 0.000 4.247
N 1.472 -0.331 3.185
N 2.613 1.472 1.062
N 1.472 3.275 -1.062
N 0.331 1.472 5.309
```

Properties
calculated volume = 73.61 Å³/f.u.
formation energy from raw total energies = -1.39 eV per formula unit
magnetic moment = 0.0 μB/f.u.

Sn2AsCl: single point on PBEsol structure, SCAN. Values from VASP.

Structure (Quantum ESPRESSO input):
```
&SYSTEM
  ibrav = 0, nat = 4, ntyp = 3
/
ATOMIC_SPECIES
Sn 118.71 Sn.upf
As 74.92 As.upf
Cl 35.45 Cl.upf
CELL_PARAMETERS angstrom
0.000 3.560 3.560
3.560 0.000 3.560
3.560 3.560 0.000
ATOMIC_POSITIONS angstrom
Sn 1.780 1.780 1.780
Sn 5.340 5.340 5.340
As 0.000 0.000 0.000
Cl 3.560 3.560 3.560
```

Properties
calculated volume = 90.25 Å³/f.u.
formation energy from raw total energies = -0.39 eV per formula unit
magnetic moment = 0.0 μB/f.u.

SeCl2: single point on PBEsol structure, SCAN. Values from VASP.

Structure (Quantum ESPRESSO input):
```
&SYSTEM
  ibrav = 0, nat = 3, ntyp = 2
/
ATOMIC_SPECIES
Se 78.96 Se.upf
Cl 35.45 Cl.upf
CELL_PARAMETERS angstrom
0.000 3.569 6.698
1.726 0.000 6.698
1.726 3.569 0.000
ATOMIC_POSITIONS angstrom
Se 0.000 0.000 0.000
Cl 1.726 3.569 4.970
Cl 1.726 3.569 8.426
```

Properties
calculated volume = 82.51 Å³/f.u.
formation energy from raw total energies = -0.53 eV per formula unit
magnetic moment = 0.0 μB/f.u.

Zr2Co: single point on PBEsol structure, SCAN. Values from VASP.

Structure (Quantum ESPRESSO input):
```
&SYSTEM
  ibrav = 0, nat = 6, ntyp = 2
/
ATOMIC_SPECIES
Zr 91.22 Zr.upf
Co 58.93 Co.upf
CELL_PARAMETERS angstrom
1.658 -5.351 0.000
1.658 5.351 0.000
0.000 0.000 6.141
ATOMIC_POSITIONS angstrom
Zr 0.000 0.000 0.000
Zr 0.000 0.000 3.071
Zr 1.658 2.253 4.606
Zr 1.658 -2.253 1.535
Co 1.658 1.217 1.535
Co 1.658 -1.217 4.606
```

Properties
calculated volume = 54.48 Å³/f.u.
formation enthalpy at 0 K = -0.202 eV per atom
magnetic moment = 0.0 μB/f.u.

YSc2Au: single point on PBEsol structure, SCAN. Values from VASP.

Structure (Quantum ESPRESSO input):
```
&SYSTEM
  ibrav = 0, nat = 4, ntyp = 3
/
ATOMIC_SPECIES
Y 88.91 Y.upf
Sc 44.96 Sc.upf
Au 196.97 Au.upf
CELL_PARAMETERS angstrom
3.507 0.000 0.000
0.000 3.507 0.000
0.000 0.000 7.398
ATOMIC_POSITIONS angstrom
Y 0.000 0.000 0.000
Sc 0.000 0.000 3.288
Sc 1.754 1.754 5.198
Au 1.754 1.754 1.815
```

Properties
calculated volume = 91.00 Å³/f.u.
formation enthalpy at 0 K = -0.510 eV per atom
magnetic moment = 0.3 μB/f.u.

CaHf2P: single point on PBEsol structure, SCAN. Values from VASP.

Structure (Quantum ESPRESSO input):
```
&SYSTEM
  ibrav = 0, nat = 8, ntyp = 3
/
ATOMIC_SPECIES
Ca 40.08 Ca.upf
Hf 178.49 Hf.upf
P 30.97 P.upf
CELL_PARAMETERS angstrom
-2.041 2.041 10.150
2.041 -2.041 10.150
2.041 2.041 -10.150
ATOMIC_POSITIONS angstrom
Ca 0.000 0.000 0.000
Ca 0.000 2.041 5.075
Hf 1.020 -0.921 7.613
Hf 1.120 1.020 2.538
Hf 1.020 2.962 -2.538
Hf 0.921 1.020 12.688
P 2.041 0.000 5.075
P 0.000 0.000 10.150
```

Properties
calculated volume = 84.56 Å³/f.u.
formation enthalpy at 0 K = 0.117 eV per atom
magnetic moment = 0.0 μB/f.u.

Mo2PAu: single point on PBEsol structure, SCAN. Values from VASP.

Structure (Quantum ESPRESSO input):
```
&SYSTEM
  ibrav = 0, nat = 4, ntyp = 3
/
ATOMIC_SPECIES
Mo 95.94 Mo.upf
P 30.97 P.upf
Au 196.97 Au.upf
CELL_PARAMETERS angstrom
4.364 0.000 0.000
0.000 1.437 4.922
0.000 -1.437 4.922
ATOMIC_POSITIONS angstrom
Mo 0.000 0.000 0.000
Mo 2.182 0.000 3.638
P 0.000 0.000 2.833
Au 2.182 0.000 6.233
```

Properties
calculated volume = 61.74 Å³/f.u.
formation enthalpy at 0 K = 0.150 eV per atom
magnetic moment = 0.0 μB/f.u.

Mn3Br: single point on PBEsol structure, SCAN. Values from VASP.

Structure (Quantum ESPRESSO input):
```
&SYSTEM
  ibrav = 0, nat = 4, ntyp = 2
/
ATOMIC_SPECIES
Mn 54.94 Mn.upf
Br 79.90 Br.upf
CELL_PARAMETERS angstrom
-1.926 1.926 4.246
1.926 -1.926 4.246
1.926 1.926 -4.246
ATOMIC_POSITIONS angstrom
Mn 0.000 0.000 0.000
Mn 1.926 0.000 2.123
Mn 0.000 1.926 2.123
Br 0.000 0.000 4.246
```

Properties
calculated volume = 63.04 Å³/f.u.
formation energy from raw total energies = 1.41 eV per formula unit
magnetic moment = 12.0 μB/f.u.

CrFe3: single point on PBEsol structure, SCAN. Values from VASP.

Structure (Quantum ESPRESSO input):
```
&SYSTEM
  ibrav = 0, nat = 4, ntyp = 2
/
ATOMIC_SPECIES
Cr 52.00 Cr.upf
Fe 55.84 Fe.upf
CELL_PARAMETERS angstrom
-1.222 3.894 2.123
1.222 -3.894 2.123
1.222 3.894 -2.123
ATOMIC_POSITIONS angstrom
Cr 0.000 0.000 0.000
Fe 1.222 1.971 -0.725
Fe 1.222 0.000 2.114
Fe 0.000 1.922 1.398
```

Properties
calculated volume = 40.40 Å³/f.u.
formation enthalpy at 0 K = 0.335 eV per atom
magnetic moment = 1.2 μB/f.u.

CaMn3Cl: single point on PBEsol structure, SCAN. Values from VASP.

Structure (Quantum ESPRESSO input):
```
&SYSTEM
  ibrav = 0, nat = 5, ntyp = 3
/
ATOMIC_SPECIES
Ca 40.08 Ca.upf
Mn 54.94 Mn.upf
Cl 35.45 Cl.upf
CELL_PARAMETERS angstrom
5.586 0.000 0.000
0.000 5.586 0.000
0.000 0.000 5.586
ATOMIC_POSITIONS angstrom
Ca 0.000 0.000 0.000
Mn 0.000 0.000 2.793
Mn 0.000 2.793 0.000
Mn 2.793 0.000 0.000
Cl 2.793 2.793 2.793
```

Properties
calculated volume = 174.26 Å³/f.u.
formation energy from raw total energies = 6.06 eV per formula unit
magnetic moment = 14.1 μB/f.u.

ReHg2Sb: single point on PBEsol structure, SCAN. Values from VASP.

Structure (Quantum ESPRESSO input):
```
&SYSTEM
  ibrav = 0, nat = 4, ntyp = 3
/
ATOMIC_SPECIES
Re 186.21 Re.upf
Hg 200.59 Hg.upf
Sb 121.76 Sb.upf
CELL_PARAMETERS angstrom
5.146 0.000 0.000
0.000 5.146 0.000
0.000 0.000 3.008
ATOMIC_POSITIONS angstrom
Re 0.000 0.000 0.000
Hg 0.000 2.573 1.504
Hg 2.573 0.000 1.504
Sb 2.573 2.573 0.000
```

Properties
calculated volume = 79.64 Å³/f.u.
formation energy from raw total energies = 4.45 eV per formula unit
magnetic moment = 0.0 μB/f.u.

La2CrAs: single point on PBEsol structure, SCAN. Values from VASP.

Structure (Quantum ESPRESSO input):
```
&SYSTEM
  ibrav = 0, nat = 4, ntyp = 3
/
ATOMIC_SPECIES
La 138.91 La.upf
Cr 52.00 Cr.upf
As 74.92 As.upf
CELL_PARAMETERS angstrom
0.000 3.546 3.546
3.546 0.000 3.546
3.546 3.546 0.000
ATOMIC_POSITIONS angstrom
La 0.000 0.000 0.000
La 1.773 1.773 1.773
Cr 3.546 3.546 3.546
As 5.319 5.319 5.319
```

Properties
calculated volume = 89.18 Å³/f.u.
formation enthalpy at 0 K = -0.078 eV per atom
magnetic moment = 2.8 μB/f.u.

ZrTlF5: single point on PBEsol structure, SCAN. Values from VASP.

Structure (Quantum ESPRESSO input):
```
&SYSTEM
  ibrav = 0, nat = 28, ntyp = 3
/
ATOMIC_SPECIES
Zr 91.22 Zr.upf
Tl 204.38 Tl.upf
F 19.00 F.upf
CELL_PARAMETERS angstrom
7.178 0.000 0.000
0.000 7.939 0.000
-3.207 0.000 7.252
ATOMIC_POSITIONS angstrom
Zr -1.015 1.286 2.459
Zr -2.618 2.683 6.086
Zr 6.589 5.255 1.167
Zr 4.985 6.653 4.793
Tl 0.892 4.290 5.030
Tl 2.495 7.618 1.404
Tl 1.475 0.320 5.849
Tl 3.079 3.649 2.222
F -2.523 0.521 5.729
F -0.920 3.449 2.102
F -0.121 1.669 0.475
F -1.724 2.300 4.101
F 1.089 4.004 0.460
F -0.515 7.904 4.087
F 1.002 5.598 2.377
F -0.601 6.310 6.004
F 0.924 1.655 2.847
F -0.680 2.314 6.474
F 4.650 5.624 0.779
F 3.047 6.284 4.405
F 4.572 1.629 1.249
F 2.968 2.341 4.875
F 4.485 0.035 3.166
F 2.882 3.934 6.792
F 5.695 5.638 3.151
F 4.091 6.269 6.777
F 4.890 4.490 5.150
F 6.494 7.418 1.524
```

Properties
calculated volume = 103.31 Å³/f.u.
formation energy from raw total energies = -24.09 eV per formula unit
magnetic moment = 0.0 μB/f.u.

Ca2Be2As: single point on PBEsol structure, SCAN. Values from VASP.

Structure (Quantum ESPRESSO input):
```
&SYSTEM
  ibrav = 0, nat = 5, ntyp = 3
/
ATOMIC_SPECIES
Ca 40.08 Ca.upf
Be 9.01 Be.upf
As 74.92 As.upf
CELL_PARAMETERS angstrom
-2.828 2.828 3.099
2.828 -2.828 3.099
2.828 2.828 -3.099
ATOMIC_POSITIONS angstrom
Ca 2.828 0.000 1.550
Ca 0.000 2.828 1.550
Be 0.000 0.000 0.949
Be 0.000 0.000 5.249
As 0.000 0.000 3.099
```

Properties
calculated volume = 99.15 Å³/f.u.
formation enthalpy at 0 K = -0.020 eV per atom
magnetic moment = 0.0 μB/f.u.

ZrSb2RuI: single point on PBEsol structure, SCAN. Values from VASP.

Structure (Quantum ESPRESSO input):
```
&SYSTEM
  ibrav = 0, nat = 5, ntyp = 4
/
ATOMIC_SPECIES
Zr 91.22 Zr.upf
Sb 121.76 Sb.upf
Ru 101.07 Ru.upf
I 126.90 I.upf
CELL_PARAMETERS angstrom
5.466 0.000 0.000
0.000 5.466 0.000
0.000 0.000 5.441
ATOMIC_POSITIONS angstrom
Zr 0.000 0.000 0.000
Sb 0.000 2.733 0.000
Sb 2.733 0.000 0.000
Ru 2.733 2.733 2.720
I 0.000 0.000 2.720
```

Properties
calculated volume = 162.58 Å³/f.u.
formation energy from raw total energies = 4.98 eV per formula unit
magnetic moment = 3.3 μB/f.u.

InGaOs2: single point on PBEsol structure, SCAN. Values from VASP.

Structure (Quantum ESPRESSO input):
```
&SYSTEM
  ibrav = 0, nat = 4, ntyp = 3
/
ATOMIC_SPECIES
In 114.82 In.upf
Ga 69.72 Ga.upf
Os 190.23 Os.upf
CELL_PARAMETERS angstrom
0.000 3.116 3.116
3.116 0.000 3.116
3.116 3.116 0.000
ATOMIC_POSITIONS angstrom
In 0.000 0.000 0.000
Ga 3.116 3.116 3.116
Os 1.558 1.558 1.558
Os 4.674 4.674 4.674
```

Properties
calculated volume = 60.50 Å³/f.u.
formation enthalpy at 0 K = 0.407 eV per atom
magnetic moment = 0.0 μB/f.u.

Sc3Ag2: single point on PBEsol structure, SCAN. Values from VASP.

Structure (Quantum ESPRESSO input):
```
&SYSTEM
  ibrav = 0, nat = 5, ntyp = 2
/
ATOMIC_SPECIES
Sc 44.96 Sc.upf
Ag 107.87 Ag.upf
CELL_PARAMETERS angstrom
5.148 -1.625 0.000
5.148 1.625 0.000
-4.142 0.000 6.035
ATOMIC_POSITIONS angstrom
Sc 0.000 0.000 0.000
Sc -1.382 0.000 4.623
Sc 7.536 0.000 1.411
Ag 1.501 0.000 3.674
Ag 4.653 0.000 2.360
```

Properties
calculated volume = 101.00 Å³/f.u.
formation enthalpy at 0 K = -0.192 eV per atom
magnetic moment = 1.0 μB/f.u.